(1)
Here is a relaxed structure of DyScTeC from the Open Quantum Materials Database. Energies are from PBE-GGA.

The value obtained for the energy above the lowest structure with this stoichiometry is 0.001 eV/atom. The crystal system is hexagonal.

Cell and atoms, written as CIF:
```
data_DyScTeC
_chemical_formula_sum 'Dy2 Sc2 Te2 C2'
_space_group_name_H-M_alt 'P 1'
_space_group_IT_number 1
_cell_length_a 3.707
_cell_length_b 3.707
_cell_length_c 13.648
_cell_angle_alpha 90.00
_cell_angle_beta 90.00
_cell_angle_gamma 120.00
loop_
_space_group_symop_operation_xyz
'x,y,z'
loop_
_atom_site_label
_atom_site_fract_x
_atom_site_fract_y
_atom_site_fract_z
Te1 0.333 0.667 0.000
Te2 0.667 0.333 0.500
Sc1 0.667 0.333 0.151
Sc2 0.667 0.333 0.849
Dy1 0.333 0.667 0.666
Dy2 0.333 0.667 0.334
C1 0.000 0.000 0.238
C2 0.000 0.000 0.762
```

(2)
Here is a relaxed structure of DyScTeC from the Open Quantum Materials Database. Energies are from PBE-GGA.

The value obtained for the energy above the lowest structure with this stoichiometry is 0.003 eV/atom. The crystal system is trigonal.

Cell and atoms, written as CIF:
```
data_DyScTeC
_chemical_formula_sum 'Dy2 Sc2 Te2 C2'
_space_group_name_H-M_alt 'P 1'
_space_group_IT_number 1
_cell_length_a 3.704
_cell_length_b 3.704
_cell_length_c 13.653
_cell_angle_alpha 90.00
_cell_angle_beta 90.00
_cell_angle_gamma 120.00
loop_
_space_group_symop_operation_xyz
'x,y,z'
loop_
_atom_site_label
_atom_site_fract_x
_atom_site_fract_y
_atom_site_fract_z
C1 0.000 0.000 0.000
C2 0.000 0.000 0.500
Sc1 0.333 0.667 0.086
Sc2 0.667 0.333 0.914
Te1 0.667 0.333 0.236
Te2 0.333 0.667 0.764
Dy1 0.667 0.333 0.597
Dy2 0.333 0.667 0.403
```

(3)
Here is a relaxed structure of Dy3ScTe2C2 from the Open Quantum Materials Database. Energies are from PBE-GGA.

The crystal system is trigonal. Its total energy is -51.68 eV per cell.

Cell and atoms, written as CIF:
```
data_Dy3ScTe2C2
_chemical_formula_sum 'Dy3 Sc1 Te2 C2'
_space_group_name_H-M_alt 'P 1'
_space_group_IT_number 1
_cell_length_a 3.772
_cell_length_b 3.772
_cell_length_c 13.830
_cell_angle_alpha 90.00
_cell_angle_beta 90.00
_cell_angle_gamma 120.00
loop_
_space_group_symop_operation_xyz
'x,y,z'
loop_
_atom_site_label
_atom_site_fract_x
_atom_site_fract_y
_atom_site_fract_z
Dy1 0.333 0.667 0.598
Dy2 0.000 0.000 0.085
Dy3 0.000 0.000 0.408
Te1 0.000 0.000 0.761
Te2 0.333 0.667 0.246
Sc1 0.333 0.667 0.906
C1 0.667 0.333 0.992
C2 0.667 0.333 0.503
```

(4)
Here is a relaxed structure of DyScW2C3 from the Open Quantum Materials Database. Energies are from PBE-GGA.

The crystal system is monoclinic. Its total energy is -67.05 eV per cell.

Cell and atoms, written as CIF:
```
data_DyScW2C3
_chemical_formula_sum 'Dy1 Sc1 W2 C3'
_space_group_name_H-M_alt 'P 1'
_space_group_IT_number 1
_cell_length_a 5.979
_cell_length_b 5.979
_cell_length_c 5.594
_cell_angle_alpha 110.07
_cell_angle_beta 110.07
_cell_angle_gamma 31.67
loop_
_space_group_symop_operation_xyz
'x,y,z'
loop_
_atom_site_label
_atom_site_fract_x
_atom_site_fract_y
_atom_site_fract_z
C1 0.749 0.749 0.259
C2 0.002 0.002 0.988
C3 0.244 0.244 0.739
Dy1 0.392 0.392 0.180
W1 0.844 0.844 0.671
W2 0.153 0.153 0.326
Sc1 0.616 0.616 0.837
```

(5)
Here is a relaxed structure of Dy3C2Se from the Open Quantum Materials Database. Energies are from PBE-GGA.

The crystal system is trigonal. Its total energy is -40.18 eV per cell.

Cell and atoms, written as CIF:
```
data_Dy3C2Se
_chemical_formula_sum 'Dy3 C2 Se1'
_space_group_name_H-M_alt 'P 1'
_space_group_IT_number 1
_cell_length_a 3.677
_cell_length_b 3.677
_cell_length_c 9.669
_cell_angle_alpha 90.00
_cell_angle_beta 90.00
_cell_angle_gamma 120.00
loop_
_space_group_symop_operation_xyz
'x,y,z'
loop_
_atom_site_label
_atom_site_fract_x
_atom_site_fract_y
_atom_site_fract_z
Dy1 0.667 0.333 0.293
Dy2 0.333 0.667 0.707
Dy3 0.000 0.000 0.000
C1 0.667 0.333 0.843
C2 0.333 0.667 0.157
Se1 0.000 0.000 0.500
```

(6)
Here is a relaxed structure of TbDy3C2Se2 from the Open Quantum Materials Database. Energies are from PBE-GGA.

The crystal system is trigonal. Its total energy is -53.01 eV per cell.

Cell and atoms, written as CIF:
```
data_TbDy3C2Se2
_chemical_formula_sum 'Tb1 Dy3 C2 Se2'
_space_group_name_H-M_alt 'P 1'
_space_group_IT_number 1
_cell_length_a 3.765
_cell_length_b 3.765
_cell_length_c 13.313
_cell_angle_alpha 90.00
_cell_angle_beta 90.00
_cell_angle_gamma 120.00
loop_
_space_group_symop_operation_xyz
'x,y,z'
loop_
_atom_site_label
_atom_site_fract_x
_atom_site_fract_y
_atom_site_fract_z
Dy1 0.333 0.667 0.400
Dy2 0.667 0.333 0.600
Dy3 0.667 0.333 0.900
C1 0.000 0.000 0.000
C2 0.000 0.000 0.500
Se1 0.333 0.667 0.750
Se2 0.667 0.333 0.250
Tb1 0.333 0.667 0.100
```

(7)
Here is a relaxed structure of TbDyCSe from the Open Quantum Materials Database. Energies are from PBE-GGA.

The crystal system is hexagonal. Its total energy is -53.00 eV per cell.

Cell and atoms, written as CIF:
```
data_TbDyCSe
_chemical_formula_sum 'Tb2 Dy2 C2 Se2'
_space_group_name_H-M_alt 'P 1'
_space_group_IT_number 1
_cell_length_a 3.770
_cell_length_b 3.770
_cell_length_c 13.335
_cell_angle_alpha 90.00
_cell_angle_beta 90.00
_cell_angle_gamma 120.00
loop_
_space_group_symop_operation_xyz
'x,y,z'
loop_
_atom_site_label
_atom_site_fract_x
_atom_site_fract_y
_atom_site_fract_z
Tb1 0.333 0.667 0.150
Tb2 0.333 0.667 0.850
C1 0.000 0.000 0.750
C2 0.000 0.000 0.250
Se1 0.333 0.667 0.500
Se2 0.667 0.333 0.000
Dy1 0.667 0.333 0.650
Dy2 0.667 0.333 0.350
```

(8)
Here is a relaxed structure of TbDyCSe from the Open Quantum Materials Database. Energies are from PBE-GGA.

The crystal system is hexagonal. Its total energy is -53.00 eV per cell.

Cell and atoms, written as CIF:
```
data_TbDyCSe
_chemical_formula_sum 'Tb2 Dy2 C2 Se2'
_space_group_name_H-M_alt 'P 1'
_space_group_IT_number 1
_cell_length_a 3.770
_cell_length_b 3.770
_cell_length_c 13.335
_cell_angle_alpha 90.00
_cell_angle_beta 90.00
_cell_angle_gamma 120.00
loop_
_space_group_symop_operation_xyz
'x,y,z'
loop_
_atom_site_label
_atom_site_fract_x
_atom_site_fract_y
_atom_site_fract_z
Dy1 0.333 0.667 0.400
Dy2 0.667 0.333 0.900
Tb1 0.333 0.667 0.100
Tb2 0.667 0.333 0.600
C1 0.000 0.000 0.000
C2 0.000 0.000 0.500
Se1 0.667 0.333 0.250
Se2 0.333 0.667 0.750
```

(9)
Here is a relaxed structure of Tb3DyC2Se2 from the Open Quantum Materials Database. Energies are from PBE-GGA.

The crystal system is trigonal. Its total energy is -52.99 eV per cell.

Cell and atoms, written as CIF:
```
data_Tb3DyC2Se2
_chemical_formula_sum 'Tb3 Dy1 C2 Se2'
_space_group_name_H-M_alt 'P 1'
_space_group_IT_number 1
_cell_length_a 3.775
_cell_length_b 3.775
_cell_length_c 13.357
_cell_angle_alpha 90.00
_cell_angle_beta 90.00
_cell_angle_gamma 120.00
loop_
_space_group_symop_operation_xyz
'x,y,z'
loop_
_atom_site_label
_atom_site_fract_x
_atom_site_fract_y
_atom_site_fract_z
C1 0.333 0.667 0.000
C2 0.333 0.667 0.500
Se1 0.667 0.333 0.750
Se2 0.000 0.000 0.250
Tb1 0.667 0.333 0.399
Tb2 0.667 0.333 0.100
Tb3 0.000 0.000 0.601
Dy1 0.000 0.000 0.900
```

(10)
Here is a relaxed structure of TbDyCSe from the Open Quantum Materials Database. Energies are from PBE-GGA.

The crystal system is trigonal. Its total energy is -53.00 eV per cell.

Cell and atoms, written as CIF:
```
data_TbDyCSe
_chemical_formula_sum 'Tb2 Dy2 C2 Se2'
_space_group_name_H-M_alt 'P 1'
_space_group_IT_number 1
_cell_length_a 3.770
_cell_length_b 3.770
_cell_length_c 13.335
_cell_angle_alpha 90.00
_cell_angle_beta 90.00
_cell_angle_gamma 120.00
loop_
_space_group_symop_operation_xyz
'x,y,z'
loop_
_atom_site_label
_atom_site_fract_x
_atom_site_fract_y
_atom_site_fract_z
C1 0.000 0.000 0.000
C2 0.000 0.000 0.500
Se1 0.667 0.333 0.250
Se2 0.333 0.667 0.750
Tb1 0.333 0.667 0.399
Tb2 0.667 0.333 0.601
Dy1 0.333 0.667 0.100
Dy2 0.667 0.333 0.900
```

(11)
Here is a relaxed structure of Dy4TeC2Se from the Open Quantum Materials Database. Energies are from PBE-GGA.

The crystal system is hexagonal. Its total energy is -51.56 eV per cell.

Cell and atoms, written as CIF:
```
data_Dy4TeC2Se
_chemical_formula_sum 'Dy4 Te1 C2 Se1'
_space_group_name_H-M_alt 'P 1'
_space_group_IT_number 1
_cell_length_a 3.788
_cell_length_b 3.788
_cell_length_c 13.698
_cell_angle_alpha 90.00
_cell_angle_beta 90.00
_cell_angle_gamma 120.00
loop_
_space_group_symop_operation_xyz
'x,y,z'
loop_
_atom_site_label
_atom_site_fract_x
_atom_site_fract_y
_atom_site_fract_z
Dy1 0.333 0.667 0.856
Dy2 0.000 0.000 0.663
Dy3 0.000 0.000 0.337
Dy4 0.333 0.667 0.144
C1 0.667 0.333 0.758
C2 0.667 0.333 0.242
Se1 0.000 0.000 0.000
Te1 0.333 0.667 0.500
```

(12)
Here is a relaxed structure of Dy4TlC2Se from the Open Quantum Materials Database. Energies are from PBE-GGA.

The crystal system is hexagonal. Its total energy is -48.69 eV per cell.

Cell and atoms, written as CIF:
```
data_Dy4TlC2Se
_chemical_formula_sum 'Dy4 Tl1 C2 Se1'
_space_group_name_H-M_alt 'P 1'
_space_group_IT_number 1
_cell_length_a 3.696
_cell_length_b 3.696
_cell_length_c 14.774
_cell_angle_alpha 90.00
_cell_angle_beta 90.00
_cell_angle_gamma 120.00
loop_
_space_group_symop_operation_xyz
'x,y,z'
loop_
_atom_site_label
_atom_site_fract_x
_atom_site_fract_y
_atom_site_fract_z
C1 0.667 0.333 0.772
C2 0.667 0.333 0.228
Dy1 0.333 0.667 0.135
Dy2 0.333 0.667 0.865
Dy3 0.000 0.000 0.683
Dy4 0.000 0.000 0.317
Se1 0.000 0.000 0.000
Tl1 0.333 0.667 0.500
```